Record 1
DFT (PBE) results for a geometry-optimized Th2GaSi4Ni3 structure.

Unit cell a=4.101 b=4.101 c=9.745 alpha=90.00 beta=90.00 gamma=90.00
Space group P-4m2 (No. 115)
Unique sites:
Th 0.000 0.500 0.242 x2
Ga 0.000 0.000 0.500 x1
Si 0.000 0.000 0.000 x1
Si 0.000 0.500 0.642 x2
Si 0.500 0.500 0.000 x1
Ni 0.000 0.500 0.881 x2
Ni 0.500 0.500 0.500 x1

Total moment, Bohr magnetons per cell: 0.0
Raw formation energy, eV/atom: -0.768
Fermi-level density of states, states/eV/f.u.: 3.62


Record 2
DFT (PBE) results for a geometry-optimized NpCd2GaAu4 structure.

Unit cell a=4.7215 b=4.7215 c=25.7571 alpha=90.00 beta=90.00 gamma=120.00
Space group R-3m (No. 166, hexagonal axes)
Unique sites:
Np 0.0000 0.0000 0.0000 x3
Cd 0.0000 0.0000 0.2478 x6
Ga 0.0000 0.0000 0.5000 x3
Au 0.0000 0.0000 0.1285 x6
Au 0.0000 0.0000 0.3879 x6

Total moment, Bohr magnetons per cell: 12.3
Fermi-level density of states, states/eV/f.u.: 13.43
Total energy, eV per cell: -95.53


Record 3
DFT (PBE) results for a geometry-optimized KCd2Se structure.

Unit cell a=4.4385 b=4.4385 c=23.8899 alpha=90.00 beta=90.00 gamma=120.00
Space group R-3m (No. 166, hexagonal axes)
Unique sites:
K 0.0000 0.0000 0.0000 x3
Cd 0.0000 0.0000 0.2263 x6
Se 0.0000 0.0000 0.5000 x3

Total moment, Bohr magnetons per cell: 0.0
Raw formation energy, eV/atom: -0.202
Fermi-level density of states, states/eV/f.u.: 2.78


Record 4
DFT (PBE) results for a geometry-optimized PuPaTi2 structure.

Unit cell a=3.0292 b=3.0292 c=31.4056 alpha=90.00 beta=90.00 gamma=120.00
Space group R-3m (No. 166, hexagonal axes)
Unique sites:
Pu 0.0000 0.0000 0.0000 x3
Pa 0.0000 0.0000 0.5000 x3
Ti 0.0000 0.0000 0.4108 x6

Total moment, Bohr magnetons per cell: 13.8
ΔE to the lowest computed polymorph, meV/atom: 214
Fermi-level density of states, states/eV/f.u.: 9.49


Record 5
DFT (PBE) results for a geometry-optimized La3Mg2Tl4Ag2 structure.

Unit cell a=5.0520 b=5.0520 c=14.0415 alpha=90.00 beta=90.00 gamma=120.00
Space group P-3m1 (No. 164)
Unique sites:
La 0.0000 0.0000 0.0000 x1
La 0.0000 0.0000 0.2604 x2
Mg 0.3333 0.6667 0.5743 x2
Tl 0.3333 0.6667 0.3647 x2
Tl 0.3333 0.6667 0.8785 x2
Ag 0.3333 0.6667 0.1362 x2

Total moment, Bohr magnetons per cell: 0.5
Fermi-level density of states, states/eV/f.u.: 9.25
Total energy, eV per cell: -35.72


Record 6
DFT (PBE) results for a geometry-optimized K2Ho2PdO6 structure.

Unit cell a=5.777 b=9.928 c=6.590 alpha=90.00 beta=105.18 gamma=90.00
Space group C2/m (No. 12)
Unique sites:
K 0.000 0.160 0.000 x4
Ho 0.000 0.335 0.500 x4
Pd 0.000 0.000 0.500 x2
O 0.206 0.158 0.673 x8
O 0.247 0.500 0.676 x4

Total moment, Bohr magnetons per cell: 0.0
Raw formation energy, eV/atom: -2.129
Fermi-level density of states, states/eV/f.u.: 0.00